No. 1
DFT (PBE) results for a relaxed LaPSe2 crystal. Values from VASP.

Structure (Quantum ESPRESSO input):
```
&SYSTEM
  ibrav = 0, nat = 4, ntyp = 3
/
ATOMIC_SPECIES
P 30.97 P.upf
La 138.91 La.upf
Se 78.96 Se.upf
CELL_PARAMETERS angstrom
4.720 0.000 0.000
0.000 4.720 0.000
0.000 0.000 4.014
ATOMIC_POSITIONS crystal
P 0.000 0.000 0.500
La 0.500 0.500 0.500
Se 0.500 0.000 0.000
Se 0.000 0.500 0.000
```

E_form (uncorrected): -789 meV/atom
DOS at the Fermi energy: 0.2781 states/eV per atom
electronic total energy: -5.12 eV per atom

=====

No. 2
DFT (PBE) results for a relaxed Cs2ZnCdHg crystal. Values from VASP.

Structure (Quantum ESPRESSO input):
```
&SYSTEM
  ibrav = 0, nat = 5, ntyp = 4
/
ATOMIC_SPECIES
Hg 200.59 Hg.upf
Zn 65.41 Zn.upf
Cs 132.91 Cs.upf
Cd 112.41 Cd.upf
CELL_PARAMETERS angstrom
-7.158 -0.419 0.035
0.118 -1.435 7.024
-0.289 5.021 1.031
ATOMIC_POSITIONS crystal
Hg 0.500 0.500 0.500
Zn 0.000 0.000 0.000
Cs 0.500 0.000 0.000
Cd 0.000 0.000 0.500
Cs 0.000 0.500 0.000
```

formation enthalpy at 0 K: 0.040 eV/atom
DOS at the Fermi energy: 0.9391 states/eV per atom
electronic total energy: -0.80 eV per atom

=====

> Look up the DOS at the Fermi energy of the first one.

0.2781 states/eV per atom